Here is crystalline Tb2CdPb at its relaxed geometry from the Alexandria database. Energies are from PBE-GGA.

Unit cell a=11.596 b=11.596 c=11.596 alpha=17.50 beta=17.50 gamma=17.50
Fractional positions:
1 Tb 0.093 0.093 0.093
2 Tb 0.907 0.907 0.907
3 Cd 0.500 0.500 0.500
4 Pb 0.000 0.000 0.000

symmetry = R-3m, No. 166
DFT total energy = -3.49 eV per atom
energy of formation from the pure elements = -8 kJ/mol of formula units
spin magnetization = 0.00 μB/cell